The following is a DFT calculation (GGA-PBE) of ZnPCCl2 after structural relaxation.

Unit cell a=4.756 b=4.756 c=4.886 alpha=90.00 beta=90.00 gamma=90.00
Fractional coordinates of all 5 atoms:
Zn1 0.000 0.000 0.000
P1 0.000 0.000 0.500
C1 0.500 0.500 0.500
Cl1 0.000 0.500 0.000
Cl2 0.500 0.000 0.000

M_tot (μB per cell): 0.45
Energy above the lowest structure with this stoichiometry (kJ per mole of atoms): 50.7
Formation energy from raw total energies (kJ/mol of atoms): 147.73
E_tot (eV per atom): -2.389

=====

The following is a DFT calculation (GGA-PBE) of ZnPCCl2 after structural relaxation.

Unit cell a=5.360 b=5.360 c=3.449 alpha=90.00 beta=90.00 gamma=90.00
Fractional coordinates of all 5 atoms:
Zn1 0.000 0.000 0.000
P1 0.500 0.500 0.000
C1 0.500 0.500 0.500
Cl1 0.000 0.500 0.500
Cl2 0.500 0.000 0.500

M_tot (μB per cell): 0.00
Energy above the lowest structure with this stoichiometry (kJ per mole of atoms): 0.0
Formation energy from raw total energies (kJ/mol of atoms): 96.99
E_tot (eV per atom): -2.915

=====

The following is a DFT calculation (GGA-PBE) of Pa2CCl after structural relaxation.

Unit cell a=7.897 b=7.897 c=7.897 alpha=24.69 beta=24.69 gamma=24.69
Fractional coordinates of all 4 atoms:
Pa1 0.231 0.231 0.231
Pa2 0.769 0.769 0.769
C1 0.500 0.500 0.500
Cl1 0.000 0.000 0.000

M_tot (μB per cell): 0.00
Formation energy from raw total energies (kJ/mol of atoms): -80.00
E_tot (eV per atom): -8.345

=====

The following is a DFT calculation (GGA-PBE) of Pa6CCl15 after structural relaxation.

Unit cell a=9.287 b=9.287 c=9.287 alpha=109.47 beta=109.47 gamma=109.47
Fractional coordinates of all 22 atoms:
Pa1 0.000 0.232 0.232
Pa2 0.000 0.768 0.768
Pa3 0.232 0.000 0.232
Pa4 0.232 0.232 0.000
Pa5 0.768 0.000 0.768
Pa6 0.768 0.768 0.000
C1 0.000 0.000 0.000
Cl1 0.000 0.252 0.748
Cl2 0.000 0.500 0.500
Cl3 0.000 0.748 0.252
Cl4 0.252 0.000 0.748
Cl5 0.252 0.252 0.503
Cl6 0.252 0.503 0.252
Cl7 0.252 0.748 0.000
Cl8 0.497 0.748 0.748
Cl9 0.500 0.000 0.500
Cl10 0.500 0.500 0.000
Cl11 0.503 0.252 0.252
Cl12 0.748 0.000 0.252
Cl13 0.748 0.252 0.000
Cl14 0.748 0.497 0.748
Cl15 0.748 0.748 0.497

M_tot (μB per cell): 3.59
Formation energy from raw total energies (kJ/mol of atoms): -157.25
E_tot (eV per atom): -5.898

=====

The following is a DFT calculation (GGA-PBE) of PbCCl2 after structural relaxation.

Unit cell a=6.478 b=6.478 c=6.478 alpha=120.10 beta=120.10 gamma=89.82
Fractional coordinates of all 8 atoms:
Pb1 0.375 0.625 0.750
Pb2 0.625 0.375 0.250
C1 0.125 0.875 0.250
C2 0.875 0.125 0.750
Cl1 0.000 0.000 0.000
Cl2 0.000 0.000 0.500
Cl3 0.000 0.500 0.000
Cl4 0.500 0.000 0.500

M_tot (μB per cell): 0.00
Energy above the lowest structure with this stoichiometry (kJ per mole of atoms): 8.2
Formation energy from raw total energies (kJ/mol of atoms): 103.00
E_tot (eV per atom): -3.089

=====

The following is a DFT calculation (GGA-PBE) of PbCCl2 after structural relaxation.

Unit cell a=5.027 b=5.027 c=5.027 alpha=60.00 beta=60.00 gamma=60.00
Fractional coordinates of all 4 atoms:
Pb1 0.000 0.000 0.000
C1 0.500 0.500 0.500
Cl1 0.250 0.250 0.250
Cl2 0.750 0.750 0.750

M_tot (μB per cell): 2.00
Energy above the lowest structure with this stoichiometry (kJ per mole of atoms): 5.9
Formation energy from raw total energies (kJ/mol of atoms): 100.63
E_tot (eV per atom): -3.113

=====

The following is a DFT calculation (GGA-PBE) of PbCCl2 after structural relaxation.

Unit cell a=8.854 b=8.854 c=8.854 alpha=22.75 beta=22.75 gamma=22.75
Fractional coordinates of all 4 atoms:
Pb1 0.000 0.000 0.000
C1 0.500 0.500 0.500
Cl1 0.116 0.116 0.116
Cl2 0.884 0.884 0.884

M_tot (μB per cell): 0.00
Energy above the lowest structure with this stoichiometry (kJ per mole of atoms): 13.8
Formation energy from raw total energies (kJ/mol of atoms): 108.55
E_tot (eV per atom): -3.031

=====

The following is a DFT calculation (GGA-PBE) of PbCCl2 after structural relaxation.

Unit cell a=7.979 b=7.979 c=7.979 alpha=33.14 beta=33.14 gamma=33.14
Fractional coordinates of all 4 atoms:
Pb1 0.000 0.000 0.000
C1 0.500 0.500 0.500
Cl1 0.394 0.394 0.394
Cl2 0.606 0.606 0.606

M_tot (μB per cell): 2.00
Energy above the lowest structure with this stoichiometry (kJ per mole of atoms): 0.0
Formation energy from raw total energies (kJ/mol of atoms): 94.76
E_tot (eV per atom): -3.174

=====

The following is a DFT calculation (GGA-PBE) of Pb3CCl after structural relaxation.

Unit cell a=5.176 b=5.176 c=5.176 alpha=90.00 beta=90.00 gamma=90.00
Fractional coordinates of all 5 atoms:
Pb1 0.000 0.000 0.500
Pb2 0.000 0.500 0.000
Pb3 0.500 0.000 0.000
C1 0.000 0.000 0.000
Cl1 0.500 0.500 0.500

M_tot (μB per cell): 0.00
Energy above the lowest structure with this stoichiometry (kJ per mole of atoms): 0.0
Formation energy from raw total energies (kJ/mol of atoms): 68.80
E_tot (eV per atom): -3.726

=====

The following is a DFT calculation (GGA-PBE) of PtPbCCl2 after structural relaxation.

Unit cell a=5.401 b=5.401 c=4.425 alpha=90.00 beta=90.00 gamma=90.00
Fractional coordinates of all 5 atoms:
Pt1 0.000 0.000 0.000
Pb1 0.500 0.500 0.500
C1 0.500 0.500 0.000
Cl1 0.000 0.500 0.500
Cl2 0.500 0.000 0.500

M_tot (μB per cell): 0.10
Formation energy from raw total energies (kJ/mol of atoms): 158.54
E_tot (eV per atom): -2.890

=====

The following is a DFT calculation (GGA-PBE) of PbCSCl2 after structural relaxation.

Unit cell a=4.732 b=4.732 c=4.254 alpha=90.00 beta=90.00 gamma=90.00
Fractional coordinates of all 5 atoms:
Pb1 0.000 0.000 0.000
C1 0.500 0.500 0.500
S1 0.500 0.500 0.000
Cl1 0.000 0.500 0.500
Cl2 0.500 0.000 0.500

M_tot (μB per cell): 0.00
Energy above the lowest structure with this stoichiometry (kJ per mole of atoms): 0.0
Formation energy from raw total energies (kJ/mol of atoms): 54.86
E_tot (eV per atom): -3.582

=====

The following is a DFT calculation (GGA-PBE) of PbCSCl2 after structural relaxation.

Unit cell a=5.362 b=5.362 c=5.415 alpha=90.00 beta=90.00 gamma=90.00
Fractional coordinates of all 5 atoms:
Pb1 0.000 0.000 0.000
C1 0.500 0.500 0.500
S1 0.000 0.000 0.500
Cl1 0.000 0.500 0.000
Cl2 0.500 0.000 0.000

M_tot (μB per cell): 0.89
Energy above the lowest structure with this stoichiometry (kJ per mole of atoms): 73.8
Formation energy from raw total energies (kJ/mol of atoms): 128.68
E_tot (eV per atom): -2.817

=====

The following is a DFT calculation (GGA-PBE) of Sn2PbCCl after structural relaxation.

Unit cell a=5.437 b=5.437 c=4.483 alpha=90.00 beta=90.00 gamma=90.00
Fractional coordinates of all 5 atoms:
Sn1 0.000 0.500 0.000
Sn2 0.500 0.000 0.000
Pb1 0.000 0.000 0.500
C1 0.500 0.500 0.500
Cl1 0.500 0.500 0.000

M_tot (μB per cell): 0.93
Formation energy from raw total energies (kJ/mol of atoms): 124.76
E_tot (eV per atom): -3.264

=====

The following is a DFT calculation (GGA-PBE) of Sr2PbCCl after structural relaxation.

Unit cell a=5.620 b=5.620 c=5.356 alpha=90.00 beta=90.00 gamma=90.00
Fractional coordinates of all 5 atoms:
Sr1 0.000 0.500 0.000
Sr2 0.500 0.000 0.000
Pb1 0.000 0.000 0.500
C1 0.500 0.500 0.500
Cl1 0.000 0.000 0.000

M_tot (μB per cell): 0.01
Formation energy from raw total energies (kJ/mol of atoms): 70.09
E_tot (eV per atom): -2.902

=====

The following is a DFT calculation (GGA-PBE) of TaPbCCl2 after structural relaxation.

Unit cell a=5.406 b=5.406 c=5.879 alpha=90.00 beta=90.00 gamma=90.00
Fractional coordinates of all 5 atoms:
Ta1 0.000 0.000 0.000
Pb1 0.000 0.000 0.500
C1 0.500 0.500 0.000
Cl1 0.000 0.500 0.500
Cl2 0.500 0.000 0.500

M_tot (μB per cell): 1.15
Formation energy from raw total energies (kJ/mol of atoms): 210.30
E_tot (eV per atom): -3.516

=====

The following is a DFT calculation (GGA-PBE) of Pd2CCl after structural relaxation.

Unit cell a=4.265 b=4.265 c=4.265 alpha=60.00 beta=60.00 gamma=60.00
Fractional coordinates of all 4 atoms:
Pd1 0.250 0.250 0.250
Pd2 0.750 0.750 0.750
C1 0.000 0.000 0.000
Cl1 0.500 0.500 0.500

M_tot (μB per cell): 0.00
Energy above the lowest structure with this stoichiometry (kJ per mole of atoms): 75.7
Formation energy from raw total energies (kJ/mol of atoms): 116.43
E_tot (eV per atom): -4.157

=====

The following is a DFT calculation (GGA-PBE) of PdC3Cl after structural relaxation.

Unit cell a=3.680 b=3.680 c=3.680 alpha=90.00 beta=90.00 gamma=90.00
Fractional coordinates of all 5 atoms:
Pd1 0.000 0.000 0.000
C1 0.000 0.500 0.500
C2 0.500 0.000 0.500
C3 0.500 0.500 0.000
Cl1 0.500 0.500 0.500

M_tot (μB per cell): 0.00
Energy above the lowest structure with this stoichiometry (kJ per mole of atoms): 48.9
Formation energy from raw total energies (kJ/mol of atoms): 318.21
E_tot (eV per atom): -3.644

=====

The following is a DFT calculation (GGA-PBE) of PdC3Cl after structural relaxation.

Unit cell a=4.110 b=4.110 c=4.110 alpha=90.00 beta=90.00 gamma=90.00
Fractional coordinates of all 5 atoms:
Pd1 0.000 0.000 0.000
C1 0.000 0.000 0.500
C2 0.000 0.500 0.000
C3 0.500 0.000 0.000
Cl1 0.500 0.500 0.500

M_tot (μB per cell): 2.66
Energy above the lowest structure with this stoichiometry (kJ per mole of atoms): 0.0
Formation energy from raw total energies (kJ/mol of atoms): 269.30
E_tot (eV per atom): -4.151

=====

The following is a DFT calculation (GGA-PBE) of PdC2Cl after structural relaxation.

Unit cell a=6.279 b=6.279 c=6.279 alpha=132.47 beta=132.47 gamma=69.49
Fractional coordinates of all 8 atoms:
Pd1 0.000 0.000 0.000
Pd2 0.750 0.250 0.500
C1 0.031 0.625 0.906
C2 0.375 0.281 0.406
C3 0.719 0.125 0.094
C4 0.875 0.969 0.594
Cl1 0.250 0.750 0.500
Cl2 0.500 0.500 0.000

M_tot (μB per cell): 0.00
Energy above the lowest structure with this stoichiometry (kJ per mole of atoms): 0.0
Formation energy from raw total energies (kJ/mol of atoms): 186.01
E_tot (eV per atom): -4.444

=====

The following is a DFT calculation (GGA-PBE) of PdCCl3 after structural relaxation.

Unit cell a=4.827 b=4.827 c=4.827 alpha=90.00 beta=90.00 gamma=90.00
Fractional coordinates of all 5 atoms:
Pd1 0.000 0.000 0.000
C1 0.500 0.500 0.500
Cl1 0.000 0.000 0.500
Cl2 0.000 0.500 0.000
Cl3 0.500 0.000 0.000

M_tot (μB per cell): 1.26
Energy above the lowest structure with this stoichiometry (kJ per mole of atoms): 11.8
Formation energy from raw total energies (kJ/mol of atoms): 120.67
E_tot (eV per atom): -2.741